# 1
Below is a relaxed structure of RbCa2MgAg, with properties calculated at the PBE level.

Lattice parameters (Å, degrees): 5.9749 5.9749 5.4744 90.00 90.00 90.00
Space group P4/mmm (No. 123)
Symmetry-distinct sites (fractional):
Rb 0.0000 0.0000 0.0000 [1 per cell]
Ca 0.0000 0.5000 0.5000 [2 per cell]
Mg 0.5000 0.5000 0.0000 [1 per cell]
Ag 0.5000 0.5000 0.5000 [1 per cell]

Properties
ΔH_f (0 K) ... 39.8 meV per atom
Spin magnetization ... 0.00 μB/f.u.
N(E_F) ... 0.8612 states/eV per atom

***

# 2
Below is a relaxed structure of K2Na12Hg5, with properties calculated at the PBE level.

Lattice parameters (Å, degrees): 17.2603 7.3723 10.5720 90.00 94.90 90.00
Space group C2/m (No. 12)
Symmetry-distinct sites (fractional):
K 0.0000 0.2396 0.0000 [4 per cell]
Na 0.0331 0.5000 0.3346 [4 per cell]
Na 0.1385 0.2518 0.6305 [8 per cell]
Na 0.1572 0.0000 0.3621 [4 per cell]
Na 0.2096 0.2761 0.1329 [8 per cell]
Hg 0.0000 0.0000 0.5000 [2 per cell]
Hg 0.1464 0.5000 0.8769 [4 per cell]
Hg 0.2102 0.5000 0.4003 [4 per cell]

Properties
ΔH_f (0 K) ... -100.4 meV per atom
Spin magnetization ... 0.00 μB/f.u.
N(E_F) ... 0.4003 states/eV per atom